No. 1
First-principles (PBE) data for a geometry-optimized MgAg3 structure, as listed in Alexandria.

POSCAR file:
```
MgAg3
1.0
-3.102 1.909 2.942
-3.779 -2.430 1.318
-0.347 -1.589 4.391
Mg Ag
1 3
Cartesian
-1.807 -0.527 2.163
-3.614 -1.055 4.326
0.000 0.000 0.000
-5.421 -1.582 6.489
```

Values from the calculation:
**Energy relative to the lowest polymorph listed for this composition**: 0.0304 eV/atom
**Calculated volume**: 18.1 Å³/atom
**Space-group type**: Fm-3m, No. 225
**Formation energy from the elements**: -12.8 kJ per mole of atoms



No. 2
First-principles (PBE) data for a geometry-optimized Er3PuTe4 structure, as listed in Alexandria.

POSCAR file:
```
Er3PuTe4
1.0
5.615 0.005 -2.489
-1.108 5.504 -2.489
-0.023 -0.028 7.526
Er Te Pu
3 4 1
Cartesian
2.253 2.755 -2.489
0.561 4.116 1.274
3.923 1.366 1.274
1.676 5.479 3.793
-0.577 2.724 6.282
3.356 4.103 0.002
1.128 1.378 2.546
-1.108 5.504 -2.489
```

Values from the calculation:
**Calculated volume**: 29.0 Å³/atom
**Space-group type**: I4/mmm, No. 139
**Formation energy from raw total energies**: -1202 meV/atom



No. 3
First-principles (PBE) data for a geometry-optimized Dy12Sc6Tl structure, as listed in Alexandria.

POSCAR file:
```
Dy12Sc6Tl
1.0
-4.427 -4.224 5.523
4.865 2.466 6.181
-4.804 6.521 1.534
Dy Sc Tl
12 6 1
Cartesian
-0.673 3.634 8.097
-3.694 1.128 5.141
-1.956 5.179 10.876
0.989 0.250 3.244
-3.384 1.974 11.558
-1.418 3.939 4.881
-4.072 3.933 6.869
-5.355 4.512 9.994
-2.948 0.823 8.358
-0.983 2.788 1.681
-2.410 -0.417 2.363
-0.295 0.829 6.370
-4.111 3.874 3.135
-0.255 0.888 10.103
1.841 3.022 5.405
-6.207 1.740 7.834
-2.433 -1.767 5.718
-1.934 6.529 7.521
0.000 0.000 0.000
```

Values from the calculation:
**Calculated volume**: 29.4 Å³/atom
**Space-group type**: R-3, No. 148
**Formation energy from the elements**: 8.5 kJ per mole of atoms



No. 4
First-principles (PBE) data for a geometry-optimized KNi2Se structure, as listed in Alexandria.

POSCAR file:
```
KNi2Se
1.0
3.259 0.000 0.000
0.000 3.246 0.000
0.000 0.000 7.245
Se K Ni
1 1 2
Cartesian
0.000 0.000 2.910
1.629 1.623 5.447
1.629 1.623 1.845
0.000 0.000 0.665
```

Values from the calculation:
**Calculated volume**: 19.2 Å³/atom
**Space-group type**: Pmm2, No. 25
**Formation energy from raw total energies**: 143 meV/atom



No. 5
First-principles (PBE) data for a geometry-optimized AsIr2Cl structure, as listed in Alexandria.

POSCAR file:
```
AsIr2Cl
1.0
-3.181 6.405 3.903
-4.422 4.098 5.480
-1.608 5.078 6.164
Ir Cl As
2 1 1
Cartesian
-9.119 15.426 15.393
-4.697 7.945 7.928
-6.908 11.686 11.661
-2.303 3.895 3.887
```

Values from the calculation:
**Energy relative to the lowest polymorph listed for this composition**: 0.0841 eV/atom
**Calculated volume**: 16.1 Å³/atom
**Space-group type**: R-3m, No. 166
**Formation energy from raw total energies**: 336 meV/atom



No. 6
First-principles (PBE) data for a geometry-optimized YLuSc structure, as listed in Alexandria.

POSCAR file:
```
YLuSc
1.0
3.450 0.000 0.000
0.000 3.450 0.000
-1.725 -1.725 7.214
Lu Y Sc
1 1 1
Cartesian
0.000 0.000 0.085
0.000 0.000 4.749
1.725 1.725 2.380
```

Values from the calculation:
**Energy relative to the lowest polymorph listed for this composition**: 0.0000 eV/atom
**Calculated volume**: 28.6 Å³/atom
**Space-group type**: I4mm, No. 107
**Formation energy from the elements**: 5.1 kJ per mole of atoms



No. 7
First-principles (PBE) data for a geometry-optimized Pm2SnSb4 structure, as listed in Alexandria.

POSCAR file:
```
Pm2SnSb4
1.0
-0.516 -2.465 -3.543
4.034 0.995 -1.279
4.037 -9.036 5.699
Sb Pm Sn
4 2 1
Cartesian
3.777 -5.253 0.438
0.503 -2.936 -0.698
5.293 -6.835 3.985
2.018 -4.518 2.849
2.634 -7.707 2.312
3.161 -2.064 0.976
1.759 -0.735 -2.411
```

Values from the calculation:
**Calculated volume**: 30.8 Å³/atom
**Space-group type**: P-4m2, No. 115
**Formation energy from raw total energies**: -643 meV/atom



No. 8
First-principles (PBE) data for a geometry-optimized TmNiGe2Ru structure, as listed in Alexandria.

POSCAR file:
```
TmNiGe2Ru
1.0
4.016 0.000 0.000
0.000 4.016 0.000
-2.008 -2.008 5.199
Ru Ge Tm Ni
1 2 1 1
Cartesian
2.008 0.000 2.600
2.008 2.008 1.263
0.000 0.000 3.937
0.000 0.000 0.000
0.000 2.008 2.600
```

Values from the calculation:
**Calculated volume**: 16.8 Å³/atom
**Space-group type**: I-4m2, No. 119
**Formation energy from the elements**: -60.0 kJ per mole of atoms



No. 9
First-principles (PBE) data for a geometry-optimized LaCu2Pb structure, as listed in Alexandria.

POSCAR file:
```
LaCu2Pb
1.0
-1.907 6.001 -1.226
-5.989 1.989 -1.153
3.771 -3.341 3.970
Cu La Pb
2 1 1
Cartesian
-7.314 7.400 -2.204
-1.355 3.644 0.683
-4.162 4.211 -1.254
-3.138 1.377 0.797
```

Values from the calculation:
**Calculated volume**: 23.4 Å³/atom
**Space-group type**: Imm2, No. 44
**Formation energy from the elements**: -5.9 kJ per mole of atoms



No. 10
First-principles (PBE) data for a geometry-optimized Mn4FeNi15 structure, as listed in Alexandria.

POSCAR file:
```
Mn4FeNi15
1.0
-3.434 -0.860 -0.386
0.361 -2.547 2.462
-4.356 11.685 12.724
Mn Ni Fe
4 15 1
Cartesian
-2.614 7.012 7.635
-0.871 2.336 2.544
-3.485 9.349 10.181
-1.742 4.673 5.089
-3.895 5.413 6.169
-1.997 4.569 7.593
-2.144 0.716 1.055
-5.026 7.657 11.231
-0.247 -0.128 2.479
-5.646 10.109 11.283
-1.537 -1.703 1.038
-4.151 5.310 8.676
-3.022 3.072 3.620
-2.403 0.621 3.569
-2.870 6.910 10.142
-1.125 2.229 5.045
-4.767 7.753 8.718
-3.278 2.968 6.125
-3.748 9.266 12.708
0.000 0.000 0.000
```

Values from the calculation:
**Calculated volume**: 11.3 Å³/atom
**Space-group type**: P4/mmm, No. 123
**Formation energy from the elements**: -10.1 kJ per mole of atoms



No. 11
First-principles (PBE) data for a geometry-optimized LaPrGe2Pd5 structure, as listed in Alexandria.

POSCAR file:
```
LaPrGe2Pd5
1.0
-0.194 -2.451 -3.635
4.355 0.314 -0.444
1.048 -7.477 4.985
Pr Pd Ge La
1 5 2 1
Cartesian
0.524 -3.738 2.493
0.663 -6.652 1.800
2.938 -5.269 3.396
0.190 -3.276 -0.451
2.465 -1.893 1.145
2.604 -4.807 0.453
2.228 -2.119 -1.339
2.981 -7.494 2.245
0.000 0.000 0.000
```

Values from the calculation:
**Calculated volume**: 19.4 Å³/atom
**Space-group type**: P4/mmm, No. 123
**Formation energy from the elements**: -78.2 kJ per mole of atoms



No. 12
First-principles (PBE) data for a geometry-optimized YAgMo2 structure, as listed in Alexandria.

POSCAR file:
```
YAgMo2
1.0
-2.644 -1.326 -0.042
2.051 -1.606 -1.401
2.076 -4.394 8.076
Mo Ag Y
2 1 1
Cartesian
0.039 -0.083 0.153
0.166 -2.444 1.076
1.299 -4.844 5.486
1.017 -2.152 3.955
```

Values from the calculation:
**Energy relative to the lowest polymorph listed for this composition**: 0.1392 eV/atom
**Calculated volume**: 19.2 Å³/atom
**Space-group type**: Cmm2, No. 35
**Formation energy from the elements**: 32.1 kJ per mole of atoms



Please write out number 9 again, unchanged.
First-principles (PBE) data for a geometry-optimized LaCu2Pb structure, as listed in Alexandria.

POSCAR file:
```
LaCu2Pb
1.0
-1.907 6.001 -1.226
-5.989 1.989 -1.153
3.771 -3.341 3.970
Cu La Pb
2 1 1
Cartesian
-7.314 7.400 -2.204
-1.355 3.644 0.683
-4.162 4.211 -1.254
-3.138 1.377 0.797
```

Values from the calculation:
**Calculated volume**: 23.4 Å³/atom
**Space-group type**: Imm2, No. 44
**Formation energy from the elements**: -5.9 kJ per mole of atoms